The following is a PBE calculation of LaPmPu2As4 after structural relaxation, from Alexandria.

Crystal system: monoclinic
SG: P2/m, No. 10
Calculated volume in Å³/cell: 212.7
ΔE_f in eV per formula unit: -9.95

Cell lengths 4.2268, 7.3001, 7.3134 Å; angles 70.47, 90.00, 90.00 degrees
With the nearest neighbours (Å) after each atom.
Element x y z (fractional)
Pm 0.0000 0.5000 0.5000  6 As 3.01-3.02
As 0.0000 0.2361 0.2590  3 Pu 2.92-2.96, 1 Pm 3.01, 2 La 3.05
As 0.5000 0.2384 0.7512  3 Pu 2.92-2.95, 2 Pm 3.02, 1 La 3.05
As 0.5000 0.7616 0.2488  3 Pu 2.92-2.95, 2 Pm 3.02, 1 La 3.05
As 0.0000 0.7639 0.7410  3 Pu 2.92-2.96, 1 Pm 3.01, 2 La 3.05
La 0.5000 0.5000 0.0000  6 As 3.05
Pu 0.0000 0.0000 0.0000  6 As 2.95-2.96
Pu 0.5000 0.0000 0.5000  6 As 2.92